1.
Entry from Alexandria via LeMat-Bulk: an optimized crystal structure of Tb4Cd2Ag (GGA-PBE).

The calculation puts the energy relative to the elements at -0.90 eV per formula unit.

It has space group R-3m (No. 166, hexagonal axes), with a = 5.2110 Å, b = 5.2110 Å, c = 25.3164 Å, α = 90.00°, β = 90.00° and γ = 120.00°. The inequivalent atoms are Tb at (0.0000, 0.0000, 0.1224), Tb at (0.0000, 0.0000, 0.3732), Cd at (0.0000, 0.0000, 0.2498) and Ag at (0.0000, 0.0000, 0.5000).

=====

2.
Entry from Alexandria via LeMat-Bulk: an optimized crystal structure of Tb3CdAg2 (GGA-PBE).

The calculation puts the energy relative to the elements at -1.89 eV per formula unit.

It has space group P4/mmm (No. 123), with a = 3.679 Å, b = 3.679 Å, c = 11.091 Å, α = 90.00°, β = 90.00° and γ = 90.00°. The inequivalent atoms are Tb at (0.000, 0.000, 0.000), Tb at (0.000, 0.000, 0.327), Cd at (0.500, 0.500, 0.500) and Ag at (0.500, 0.500, 0.166).

=====

3.
Entry from Alexandria via LeMat-Bulk: an optimized crystal structure of Tb3Cd12Ag (GGA-PBE).

The calculation puts the energy relative to the elements at -3.34 eV per formula unit.

It has space group P4/mmm (No. 123), with a = 4.567 Å, b = 4.567 Å, c = 17.916 Å, α = 90.00°, β = 90.00° and γ = 90.00°. The inequivalent atoms are Tb at (0.000, 0.000, 0.000), Tb at (0.000, 0.000, 0.263), Cd at (0.000, 0.500, 0.131), Cd at (0.000, 0.500, 0.388), Cd at (0.500, 0.500, 0.000), Cd at (0.500, 0.500, 0.264), Cd at (0.500, 0.500, 0.500) and Ag at (0.000, 0.000, 0.500).

=====

4.
Entry from Alexandria via LeMat-Bulk: an optimized crystal structure of Tb4CdAg7 (GGA-PBE).

The calculation puts the energy relative to the elements at -1.22 eV per formula unit.

It has space group C2/m (No. 12), with a = 10.781 Å, b = 5.403 Å, c = 11.054 Å, α = 90.00°, β = 117.80° and γ = 90.00°. The inequivalent atoms are Tb at (0.068, 0.000, 0.362), Tb at (0.182, 0.500, 0.786), Cd at (0.000, 0.500, 0.000), Ag at (0.000, 0.000, 0.000), Ag at (0.122, 0.500, 0.493), Ag at (0.204, 0.000, 0.912) and Ag at (0.246, 0.500, 0.320).

=====

5.
Entry from Alexandria via LeMat-Bulk: an optimized crystal structure of Tb4Cd5Ag2 (GGA-PBE).

The calculation puts the energy relative to the elements at -2.95 eV per formula unit.

It has space group P2/m (No. 10), with a = 7.762 Å, b = 3.528 Å, c = 10.076 Å, α = 90.00°, β = 94.31° and γ = 90.00°. The inequivalent atoms are Tb at (0.168, 0.000, 0.375), Tb at (0.259, 0.000, 0.944), Cd at (0.191, 0.500, 0.658), Cd at (0.443, 0.500, 0.198), Cd at (0.500, 0.500, 0.500) and Ag at (0.062, 0.500, 0.136).

=====

6.
Entry from Alexandria via LeMat-Bulk: an optimized crystal structure of TbCd2Ag4 (GGA-PBE).

The calculation puts the energy relative to the elements at 0.30 eV per formula unit.

It has space group I4/mmm (No. 139), with a = 7.328 Å, b = 7.328 Å, c = 5.905 Å, α = 90.00°, β = 90.00° and γ = 90.00°. The inequivalent atoms are Tb at (0.000, 0.000, 0.000), Cd at (0.000, 0.500, 0.000) and Ag at (0.250, 0.250, 0.250).

=====

7.
Entry from Alexandria via LeMat-Bulk: an optimized crystal structure of TbCd6Ag5 (GGA-PBE).

The calculation puts the energy relative to the elements at -1.21 eV per formula unit.

It has space group Immm (No. 71), with a = 4.664 Å, b = 8.355 Å, c = 12.742 Å, α = 90.00°, β = 90.00° and γ = 90.00°. The inequivalent atoms are Tb at (0.000, 0.000, 0.000), Cd at (0.000, 0.219, 0.500), Cd at (0.000, 0.279, 0.170), Ag at (0.000, 0.000, 0.306), Ag at (0.000, 0.500, 0.000) and Ag at (0.000, 0.500, 0.346).

=====

8.
Entry from Alexandria via LeMat-Bulk: an optimized crystal structure of Tb6CdAg5 (GGA-PBE).

The calculation puts the energy relative to the elements at -3.76 eV per formula unit.

It has space group Cmmm (No. 65), with a = 5.196 Å, b = 15.576 Å, c = 7.317 Å, α = 90.00°, β = 90.00° and γ = 90.00°. The inequivalent atoms are Tb at (0.000, 0.000, 0.244), Tb at (0.000, 0.331, 0.248), Cd at (0.000, 0.500, 0.500), Ag at (0.000, 0.162, 0.500), Ag at (0.000, 0.166, 0.000) and Ag at (0.000, 0.500, 0.000).

=====

9.
Entry from Alexandria via LeMat-Bulk: an optimized crystal structure of Tb2Cd5Ag4 (GGA-PBE).

The calculation puts the energy relative to the elements at -1.43 eV per formula unit.

It has space group Fmmm (No. 69), with a = 5.798 Å, b = 9.367 Å, c = 18.782 Å, α = 90.00°, β = 90.00° and γ = 90.00°. The inequivalent atoms are Tb at (0.000, 0.000, 0.119), Cd at (0.000, 0.000, 0.500), Cd at (0.250, 0.250, 0.000), Cd at (0.250, 0.250, 0.250) and Ag at (0.000, 0.158, 0.369).

=====

10.
Entry from Alexandria via LeMat-Bulk: an optimized crystal structure of TbCd4Ag2 (GGA-PBE).

The calculation puts the energy relative to the elements at -1.13 eV per formula unit.

It has space group C2/m (No. 12), with a = 9.198 Å, b = 7.422 Å, c = 5.564 Å, α = 90.00°, β = 126.97° and γ = 90.00°. The inequivalent atoms are Tb at (0.000, 0.000, 0.000), Cd at (0.197, 0.195, 0.697) and Ag at (0.000, 0.500, 0.250).

=====

11.
Entry from Alexandria via LeMat-Bulk: an optimized crystal structure of Tb4CdAg3 (GGA-PBE).

The calculation puts the energy relative to the elements at -2.12 eV per formula unit. The calculation puts the energy above the lowest structure with this stoichiometry at 0.0457 eV per atom.

It has space group Pmm2 (No. 25), with a = 3.642 Å, b = 4.879 Å, c = 11.444 Å, α = 90.00°, β = 90.00° and γ = 90.00°. The inequivalent atoms are Tb at (0.000, 0.000, 0.000), Tb at (0.000, 0.500, 0.285), Tb at (0.500, 0.000, 0.485), Tb at (0.500, 0.500, 0.796), Cd at (0.000, 0.000, 0.718), Ag at (0.000, 0.500, 0.562), Ag at (0.500, 0.000, 0.218) and Ag at (0.500, 0.500, 0.066).

=====

12.
Entry from Alexandria via LeMat-Bulk: an optimized crystal structure of TbCd3Ag4 (GGA-PBE).

The calculation puts the energy relative to the elements at -1.06 eV per formula unit.

It has space group R-3m (No. 166, hexagonal axes), with a = 4.9036 Å, b = 4.9036 Å, c = 23.7316 Å, α = 90.00°, β = 90.00° and γ = 120.00°. The inequivalent atoms are Tb at (0.0000, 0.0000, 0.0000), Cd at (0.0000, 0.0000, 0.2539), Cd at (0.0000, 0.0000, 0.5000), Ag at (0.0000, 0.0000, 0.1293) and Ag at (0.0000, 0.0000, 0.3817).